Entry 1:
Here is an optimized crystal structure of CrHgPO2 from Alexandria. Energies are from GGA+U.

Space group   P4/mmm
DOS(E_F)   0.286 states/eV per atom
Polymorph energy (0 for the lowest one)   0 meV per atom
Electronic total energy   -5.093 eV/atom
M_tot   1.49 μB per cell

Lattice parameters (Å, degrees): 3.7177 3.7177 5.4094 90.00 90.00 90.00
Last column: nearest neighbours and their distance in Å.
Sites, in units of the cell vectors:
Cr 0.0000 0.0000 0.0000  4 O 1.86
Hg 0.5000 0.5000 0.5000  4 P 2.63
O 0.0000 0.5000 0.0000  2 Cr 1.86
O 0.5000 0.0000 0.0000  2 Cr 1.86
P 0.0000 0.0000 0.5000  4 Hg 2.63, 2 Cr 2.70


Entry 2:
Here is an optimized crystal structure of CrHgPO2 from Alexandria. Energies are from GGA+U.

Space group   P4/mmm
DOS(E_F)   0.990 states/eV per atom
Polymorph energy (0 for the lowest one)   1149 meV per atom
Electronic total energy   -3.944 eV/atom
M_tot   2.96 μB per cell

Lattice parameters (Å, degrees): 4.1396 4.1396 5.1897 90.00 90.00 90.00
Last column: nearest neighbours and their distance in Å.
Sites, in units of the cell vectors:
Cr 0.5000 0.5000 0.5000  4 P 2.93
Hg 0.0000 0.0000 0.0000  4 O 2.07
O 0.0000 0.5000 0.0000  2 Hg 2.07
O 0.5000 0.0000 0.0000  2 Hg 2.07
P 0.0000 0.0000 0.5000  2 Hg 2.59


Entry 3:
Here is an optimized crystal structure of PaCr2HgO8 from Alexandria. Energies are from GGA+U.

Space group   P-3m1
DOS(E_F)   0.486 states/eV per atom
Electronic total energy   -7.090 eV/atom
M_tot   1.00 μB per cell

Lattice parameters (Å, degrees): 5.9569 5.9569 8.2694 90.00 90.00 120.00
Last column: nearest neighbours and their distance in Å.
Sites, in units of the cell vectors:
Pa 0.0000 0.0000 0.0000  6 O 2.17
Cr 0.3333 0.6667 0.7836  4 O 1.60-1.73
Cr 0.6667 0.3333 0.2164  4 O 1.60-1.73
Hg 0.0000 0.0000 0.5000  12 O 3.45-3.52
O 0.1756 0.3511 0.8557  1 Cr 1.73
O 0.1756 0.8244 0.8557  1 Cr 1.73
O 0.6489 0.8244 0.8557  1 Cr 1.73
O 0.3511 0.1756 0.1443  1 Cr 1.73
O 0.6667 0.3333 0.4102  1 Cr 1.60
O 0.3333 0.6667 0.5898  1 Cr 1.60
O 0.8244 0.6489 0.1443  1 Cr 1.73
O 0.8244 0.1756 0.1443  1 Cr 1.73